Record 1
An optimized crystal structure of KFePb2I, computed with GGA-PBE.

```
KFePb2I
1.0
-2.4602 -3.3029 2.8888
2.6544 -4.8292 -3.2608
3.8607 -0.0553 3.2247
Fe K I Pb
1 1 1 2
direct
0.0000 0.0000 0.0000
0.5000 0.5000 0.5000
0.0000 0.5000 0.0000
0.0000 0.0000 0.5000
0.5000 0.0000 0.0000
```

Calculated values
Formation energy (no corrections), eV/atom: 0.0675
M_tot, μB/cell: 0.00
Electronic total energy, eV for the cell shown: -18.19
Space group: No. 123

***

Record 2
An optimized crystal structure of Pa3Cu, computed with GGA-PBE.

```
Pa3Cu
1.0
4.4356 0.0000 0.0000
0.0000 4.4356 0.0000
-2.2178 -2.2178 4.4603
Pa Cu
3 1
direct
0.5000 0.5000 0.0000
0.2500 0.7500 0.5000
0.7500 0.2500 0.5000
0.0000 0.0000 0.0000
```

Calculated values
M_tot, μB/cell: 0.00
Electronic total energy, eV for the cell shown: -31.99
Formation energy, eV/atom: 0.148
Space group: No. 139

***

Record 3
An optimized crystal structure of Pr2SmTcN4, computed with GGA-PBE.

```
Pr2SmTcN4
1.0
-3.4621 -0.6060 0.2916
1.6986 -2.1704 -5.6720
2.3228 -10.9241 4.8757
N Pr Tc Sm
8 4 2 2
direct
0.7302 0.4603 0.8615
0.4298 0.8597 0.7500
0.7302 0.4603 0.6385
0.0000 0.0000 0.5000
0.0000 0.0000 0.0000
0.2698 0.5397 0.3615
0.5702 0.1403 0.2500
0.2698 0.5397 0.1385
0.3677 0.7354 0.5400
0.6323 0.2646 0.4600
0.6323 0.2646 0.0400
0.3677 0.7354 0.9600
0.1452 0.2905 0.2500
0.8548 0.7095 0.7500
0.1276 0.2551 0.7500
0.8724 0.7449 0.2500
```

Calculated values
Formation energy (no corrections), eV/atom: -0.8596
M_tot, μB/cell: 0.00
Electronic total energy, eV for the cell shown: -129.64
Space group: No. 63